Computed, not measured: a relaxed Pr3NiPt2 crystal at the PBE level of DFT.

Summary:
The calculated formation energy is -0.83 eV/atom. The total energy is -6.199 eV per atom. The calculation puts the total magnetic moment at 0.00 μB/cell.

Unit cell a=11.822 b=4.122 c=12.148 alpha=90.00 beta=90.00 gamma=90.00
Atoms (fractional coordinates):
Pr (0.054, 0.250, 0.124)
Pr (0.124, 0.750, 0.554)
Pr (0.215, 0.250, 0.804)
Pr (0.285, 0.750, 0.304)
Pr (0.376, 0.250, 0.054)
Pr (0.446, 0.750, 0.624)
Pr (0.554, 0.250, 0.376)
Pr (0.624, 0.750, 0.946)
Pr (0.715, 0.250, 0.696)
Pr (0.785, 0.750, 0.196)
Pr (0.876, 0.250, 0.446)
Pr (0.946, 0.750, 0.876)
Ni (0.122, 0.250, 0.372)
Ni (0.378, 0.750, 0.872)
Ni (0.622, 0.250, 0.128)
Ni (0.878, 0.750, 0.628)
Pt (0.012, 0.750, 0.308)
Pt (0.184, 0.750, 0.987)
Pt (0.316, 0.250, 0.487)
Pt (0.488, 0.250, 0.808)
Pt (0.512, 0.750, 0.192)
Pt (0.684, 0.750, 0.513)
Pt (0.816, 0.250, 0.013)
Pt (0.988, 0.250, 0.692)